Material: Dy3UTl3Te8
Method: DFT, PBE-GGA
State: optimized geometry

a = 8.8220 Å, b = 8.8219 Å, c = 9.7025 Å
α = 117.03°, β = 90.00°, γ = 120.00°
Last column: nearest neighbours and their distance in Å.
Element x y z (fractional)
Dy  0.5000  0.0000  0.5000  6 Te 3.09-3.10
Dy  0.5000  0.5000  0.5000  6 Te 3.09-3.10
Dy  0.0000  0.5000  0.5000  6 Te 3.09-3.10
U  0.0000  0.0000  0.5000  6 Te 3.08
Tl  0.0000  0.0000  0.0000  6 Te 3.48
Tl  0.0000  0.5000  0.0000  6 Te 3.48
Tl  0.5000  0.5000  0.0000  6 Te 3.48
Te  0.2621  0.5243  0.2864  3 Dy 3.10
Te  0.7379  0.4757  0.7136  3 Dy 3.10
Te  0.7632  0.5265  0.2884  1 U 3.08, 2 Dy 3.09
Te  0.2368  0.4735  0.7116  1 U 3.08, 2 Dy 3.09
Te  0.7632  0.0251  0.2884  1 U 3.08, 2 Dy 3.09
Te  0.2368  0.9749  0.7116  1 U 3.08, 2 Dy 3.09
Te  0.2619  0.0251  0.2884  1 U 3.08, 2 Dy 3.09
Te  0.7381  0.9749  0.7116  1 U 3.08, 2 Dy 3.09

Results
**Electronic total energy**: -4.783 eV/atom
**Symmetry**: R-3m
**Crystal system**: trigonal
**Raw formation energy**: -0.9609 eV/atom